No. 1
Compound: MgWSN2
Source: the Alexandria database
Functional: PBE-GGA
Structure: optimized geometry

Cell and atoms, written as CIF:
```
data_MgWSN2
_chemical_formula_sum 'Mg1 W1 S1 N2'
_space_group_name_H-M_alt 'P 4/m m m'
_space_group_IT_number 123
_space_group_name_Hall '-P 4 2'
_cell_length_a 3.853
_cell_length_b 3.853
_cell_length_c 4.705
_cell_angle_alpha 90.00
_cell_angle_beta 90.00
_cell_angle_gamma 90.00
loop_
_atom_site_label
_atom_site_type_symbol
_atom_site_fract_x
_atom_site_fract_y
_atom_site_fract_z
_atom_site_occupancy
Mg1 Mg 0.000 0.000 0.000 1
W1 W 0.500 0.500 0.500 1
S1 S 0.000 0.000 0.500 1
N1 N 0.000 0.500 0.000 1
```

Computed properties:
Density of states at the Fermi level = 3.23 states/eV/cell

No. 2
Compound: MgWSN2
Source: the Alexandria database
Functional: PBE-GGA
Structure: optimized geometry

Cell and atoms, written as CIF:
```
data_MgWSN2
_chemical_formula_sum 'Mg1 W1 S1 N2'
_space_group_name_H-M_alt 'P 4/m m m'
_space_group_IT_number 123
_space_group_name_Hall '-P 4 2'
_cell_length_a 3.896
_cell_length_b 3.896
_cell_length_c 5.020
_cell_angle_alpha 90.00
_cell_angle_beta 90.00
_cell_angle_gamma 90.00
loop_
_atom_site_label
_atom_site_type_symbol
_atom_site_fract_x
_atom_site_fract_y
_atom_site_fract_z
_atom_site_occupancy
Mg1 Mg 0.000 0.000 0.000 1
W1 W 0.500 0.500 0.500 1
S1 S 0.500 0.500 0.000 1
N1 N 0.000 0.500 0.500 1
```

Computed properties:
Density of states at the Fermi level = 0.76 states/eV/cell

No. 3
Compound: YMg2SN
Source: the Alexandria database
Functional: PBE-GGA
Structure: optimized geometry

Cell and atoms, written as CIF:
```
data_YMg2SN
_chemical_formula_sum 'Y1 Mg2 S1 N1'
_space_group_name_H-M_alt 'P 4/m m m'
_space_group_IT_number 123
_space_group_name_Hall '-P 4 2'
_cell_length_a 4.692
_cell_length_b 4.692
_cell_length_c 4.709
_cell_angle_alpha 90.00
_cell_angle_beta 90.00
_cell_angle_gamma 90.00
loop_
_atom_site_label
_atom_site_type_symbol
_atom_site_fract_x
_atom_site_fract_y
_atom_site_fract_z
_atom_site_occupancy
Y1 Y 0.000 0.000 0.000 1
Mg1 Mg 0.000 0.500 0.500 1
S1 S 0.500 0.500 0.500 1
N1 N 0.500 0.500 0.000 1
```

Computed properties:
Density of states at the Fermi level = 2.20 states/eV/cell

No. 4
Compound: YMgSN2
Source: the Alexandria database
Functional: PBE-GGA
Structure: optimized geometry

Cell and atoms, written as CIF:
```
data_YMgSN2
_chemical_formula_sum 'Y1 Mg1 S1 N2'
_space_group_name_H-M_alt 'P 4/m m m'
_space_group_IT_number 123
_space_group_name_Hall '-P 4 2'
_cell_length_a 4.040
_cell_length_b 4.040
_cell_length_c 4.771
_cell_angle_alpha 90.00
_cell_angle_beta 90.00
_cell_angle_gamma 90.00
loop_
_atom_site_label
_atom_site_type_symbol
_atom_site_fract_x
_atom_site_fract_y
_atom_site_fract_z
_atom_site_occupancy
Y1 Y 0.000 0.000 0.000 1
Mg1 Mg 0.500 0.500 0.500 1
S1 S 0.500 0.500 0.000 1
N1 N 0.000 0.500 0.500 1
```

Computed properties:
Density of states at the Fermi level = 2.38 states/eV/cell

No. 5
Compound: YMgSN2
Source: the Alexandria database
Functional: PBE-GGA
Structure: optimized geometry

Cell and atoms, written as CIF:
```
data_YMgSN2
_chemical_formula_sum 'Y1 Mg1 S1 N2'
_space_group_name_H-M_alt 'P 4/m m m'
_space_group_IT_number 123
_space_group_name_Hall '-P 4 2'
_cell_length_a 4.378
_cell_length_b 4.378
_cell_length_c 5.436
_cell_angle_alpha 90.00
_cell_angle_beta 90.00
_cell_angle_gamma 90.00
loop_
_atom_site_label
_atom_site_type_symbol
_atom_site_fract_x
_atom_site_fract_y
_atom_site_fract_z
_atom_site_occupancy
Y1 Y 0.000 0.000 0.000 1
Mg1 Mg 0.500 0.500 0.500 1
S1 S 0.000 0.000 0.500 1
N1 N 0.000 0.500 0.000 1
```

Computed properties:
Density of states at the Fermi level = 2.27 states/eV/cell

No. 6
Compound: MgZnSN2
Source: the Alexandria database
Functional: PBE-GGA
Structure: optimized geometry

Cell and atoms, written as CIF:
```
data_MgZnSN2
_chemical_formula_sum 'Mg1 Zn1 S1 N2'
_space_group_name_H-M_alt 'P 4/m m m'
_space_group_IT_number 123
_space_group_name_Hall '-P 4 2'
_cell_length_a 3.834
_cell_length_b 3.834
_cell_length_c 5.410
_cell_angle_alpha 90.00
_cell_angle_beta 90.00
_cell_angle_gamma 90.00
loop_
_atom_site_label
_atom_site_type_symbol
_atom_site_fract_x
_atom_site_fract_y
_atom_site_fract_z
_atom_site_occupancy
Mg1 Mg 0.000 0.000 0.000 1
Zn1 Zn 0.500 0.500 0.500 1
S1 S 0.500 0.500 0.000 1
N1 N 0.000 0.500 0.500 1
```

Computed properties:
Density of states at the Fermi level = 1.97 states/eV/cell

no.,theoretical density (g/cm³),total magnetization (μB/f.u.),ΔE_f (raw) (meV/atom)
1,6.4,0.6,1628
2,5.8,0.0,-130
3,2.9,0.0,584
4,3.7,2.4,87
5,2.8,3.0,382
6,3.1,3.2,941